1.
## BeAs2HSe (PBE-GGA)

Data for a relaxed structure of BeAs2HSe.

SG ... P4/mmm, No. 123
Relative energy among the computed polymorphs ... 0 meV/atom
VASP energy ... -16.372 eV per cell
Theoretical density ... 4287 kg/m³

a = 3.6755 Å, b = 6.8471 Å, c = 3.6755 Å
α = 90.00°, β = 90.00°, γ = 90.00°
Fractional coordinates of all 5 atoms:
1 As 0.0000 0.0000 0.5000
2 As 0.5000 0.0000 0.0000
3 H 0.0000 0.0000 0.0000
4 Be 0.5000 0.5000 0.5000
5 Se 0.0000 0.5000 0.0000



2.
## BeAsHSe2 (PBE-GGA)

Data for a relaxed structure of BeAsHSe2.

SG ... P4/mmm, No. 123
Relative energy among the computed polymorphs ... 0 meV/atom
VASP energy ... -14.971 eV per cell
Theoretical density ... 5101 kg/m³

a = 4.7980 Å, b = 4.7980 Å, c = 3.4344 Å
α = 90.00°, β = 90.00°, γ = 90.00°
Fractional coordinates of all 5 atoms:
1 Se 0.5000 0.0000 0.0000
2 Se 0.0000 0.5000 0.0000
3 As 0.0000 0.0000 0.5000
4 H 0.0000 0.0000 0.0000
5 Be 0.5000 0.5000 0.5000



3.
## Sr2BeAsH (PBE-GGA)

Data for a relaxed structure of Sr2BeAsH.

SG ... P4/mmm, No. 123
VASP energy ... -13.847 eV per cell
Theoretical density ... 3117 kg/m³

a = 6.0571 Å, b = 3.7782 Å, c = 6.0571 Å
α = 90.00°, β = 90.00°, γ = 90.00°
Fractional coordinates of all 5 atoms:
1 H 0.0000 0.5000 0.0000
2 As 0.0000 0.0000 0.0000
3 Be 0.5000 0.5000 0.5000
4 Sr 0.5000 0.0000 0.0000
5 Sr 0.0000 0.0000 0.5000



4.
## SrBe2AsH2 (PBE-GGA)

Data for a relaxed structure of SrBe2AsH2.

SG ... P2_1/m, No. 11
VASP energy ... -43.976 eV per cell
Theoretical density ... 3408 kg/m³

a = 4.4427 Å, b = 6.4405 Å, c = 6.9866 Å
α = 117.12°, β = 90.00°, γ = 90.00°
Fractional coordinates of all 12 atoms:
1 Be 0.4962 0.1357 0.1857
2 Be 0.0038 0.1357 0.1857
3 Be 0.5038 0.8643 0.8143
4 Be 0.9962 0.8643 0.8143
5 Sr 0.2500 0.7078 0.3316
6 Sr 0.7500 0.2922 0.6684
7 As 0.2500 0.2094 0.9357
8 As 0.7500 0.7906 0.0643
9 H 0.2500 0.6878 0.6947
10 H 0.7500 0.8483 0.6472
11 H 0.2500 0.1517 0.3528
12 H 0.7500 0.3122 0.3053



5.
## ZrBe2AsH (PBE-GGA)

Data for a relaxed structure of ZrBe2AsH.

SG ... P4/mmm, No. 123
VASP energy ... -23.622 eV per cell
Theoretical density ... 5070 kg/m³

a = 3.7244 Å, b = 4.3727 Å, c = 3.7244 Å
α = 90.00°, β = 90.00°, γ = 90.00°
Fractional coordinates of all 5 atoms:
1 H 0.0000 0.0000 0.0000
2 As 0.0000 0.5000 0.0000
3 Be 0.0000 0.0000 0.5000
4 Be 0.5000 0.0000 0.0000
5 Zr 0.5000 0.5000 0.5000



6.
## Hf3BeAs2 (PBE-GGA)

Data for a relaxed structure of Hf3BeAs2.

SG ... Pnma, No. 62
Energy of formation ... -721 meV per atom
VASP energy ... -188.842 eV per cell
Theoretical density ... 11344 kg/m³

a = 3.6838 Å, b = 10.3451 Å, c = 10.6680 Å
α = 90.00°, β = 90.00°, γ = 90.00°
Fractional coordinates of all 24 atoms:
1 Hf 0.2500 0.1207 0.5476
2 Hf 0.7500 0.2836 0.7829
3 Hf 0.7500 0.2164 0.2829
4 Hf 0.2500 0.3793 0.0476
5 Hf 0.2500 0.7164 0.2171
6 Hf 0.7500 0.5602 0.6179
7 Hf 0.7500 0.6207 0.9524
8 Hf 0.7500 0.8793 0.4524
9 Hf 0.2500 0.0602 0.8821
10 Hf 0.2500 0.4398 0.3821
11 Hf 0.7500 0.9398 0.1179
12 Hf 0.2500 0.7836 0.7171
13 As 0.2500 0.0056 0.3055
14 As 0.7500 0.5056 0.1945
15 As 0.2500 0.8106 0.9777
16 As 0.7500 0.1894 0.0223
17 As 0.7500 0.3106 0.5223
18 As 0.7500 0.9944 0.6945
19 As 0.2500 0.6894 0.4777
20 As 0.2500 0.4944 0.8055
21 Be 0.7500 0.8738 0.8737
22 Be 0.2500 0.3738 0.6263
23 Be 0.7500 0.6262 0.3737
24 Be 0.2500 0.1262 0.1263



7.
## HfBe3As (PBE-GGA)

Data for a relaxed structure of HfBe3As.

SG ... Pm-3m, No. 221
Relative energy among the computed polymorphs ... 0 meV/atom
Energy of formation ... 765 meV per atom
VASP energy ... -21.959 eV per cell
Theoretical density ... 6145 kg/m³

a = 4.2318 Å, b = 4.2318 Å, c = 4.2318 Å
α = 90.00°, β = 90.00°, γ = 90.00°
Fractional coordinates of all 5 atoms:
1 Be 0.0000 0.0000 0.5000
2 Be 0.0000 0.5000 0.0000
3 Be 0.5000 0.0000 0.0000
4 Hf 0.5000 0.5000 0.5000
5 As 0.0000 0.0000 0.0000



8.
## HfBe3As (PBE-GGA)

Data for a relaxed structure of HfBe3As.

SG ... Pm-3m, No. 221
Relative energy among the computed polymorphs ... 1013 meV/atom
Energy of formation ... 1777 meV per atom
VASP energy ... -16.896 eV per cell
Theoretical density ... 4567 kg/m³

a = 4.6720 Å, b = 4.6720 Å, c = 4.6720 Å
α = 90.00°, β = 90.00°, γ = 90.00°
Fractional coordinates of all 5 atoms:
1 As 0.5000 0.5000 0.5000
2 Hf 0.0000 0.0000 0.0000
3 Be 0.0000 0.0000 0.5000
4 Be 0.0000 0.5000 0.0000
5 Be 0.5000 0.0000 0.0000



9.
## HfBeAs2 (PBE-GGA)

Data for a relaxed structure of HfBeAs2.

SG ... I-42d, No. 122
Energy of formation ... -240 meV per atom
VASP energy ... -47.874 eV per cell
Theoretical density ... 6159 kg/m³

a = 5.7284 Å, b = 5.7284 Å, c = 6.8656 Å
α = 65.34°, β = 65.34°, γ = 90.00°
Fractional coordinates of all 8 atoms:
1 As 0.8750 0.8324 0.7500
2 As 0.1676 0.6250 0.2500
3 As 0.3750 0.4176 0.7500
4 As 0.5824 0.1250 0.2500
5 Hf 0.7500 0.2500 0.5000
6 Hf 0.0000 0.0000 0.0000
7 Be 0.5000 0.5000 0.0000
8 Be 0.2500 0.7500 0.5000



10.
## HfBe2As (PBE-GGA)

Data for a relaxed structure of HfBe2As.

SG ... I-42d, No. 122
Energy of formation ... 70 meV per atom
VASP energy ... -43.551 eV per cell
Theoretical density ... 7461 kg/m³

a = 6.8322 Å, b = 6.8322 Å, c = 5.4808 Å
α = 51.44°, β = 51.44°, γ = 90.00°
Fractional coordinates of all 8 atoms:
1 As 0.2500 0.7500 0.5000
2 As 0.5000 0.5000 0.0000
3 Be 0.1745 0.6250 0.2500
4 Be 0.3750 0.4245 0.7500
5 Be 0.8750 0.8255 0.7500
6 Be 0.5755 0.1250 0.2500
7 Hf 0.0000 0.0000 0.0000
8 Hf 0.7500 0.2500 0.5000



11.
## Hf3BeAs (PBE-GGA)

Data for a relaxed structure of Hf3BeAs.

SG ... Pm-3m, No. 221
Relative energy among the computed polymorphs ... 0 meV/atom
Energy of formation ... 138 meV per atom
VASP energy ... -37.545 eV per cell
Theoretical density ... 10459 kg/m³

a = 4.6158 Å, b = 4.6158 Å, c = 4.6158 Å
α = 90.00°, β = 90.00°, γ = 90.00°
Fractional coordinates of all 5 atoms:
1 Hf 0.0000 0.0000 0.5000
2 Hf 0.5000 0.0000 0.0000
3 Hf 0.0000 0.5000 0.0000
4 As 0.5000 0.5000 0.5000
5 Be 0.0000 0.0000 0.0000



12.
## Hf5Be2As (PBE-GGA)

Data for a relaxed structure of Hf5Be2As.

SG ... I4/mcm, No. 140
Energy of formation ... -305 meV per atom
VASP energy ... -128.620 eV per cell
Theoretical density ... 11569 kg/m³

a = 6.7619 Å, b = 6.7619 Å, c = 7.8188 Å
α = 115.62°, β = 115.62°, γ = 90.00°
Fractional coordinates of all 16 atoms:
1 As 0.7500 0.7500 0.5000
2 As 0.2500 0.2500 0.5000
3 Hf 0.8094 0.9855 0.2949
4 Hf 0.0000 0.0000 0.0000
5 Hf 0.4855 0.3094 0.2949
6 Hf 0.6906 0.1906 0.7051
7 Hf 0.5000 0.5000 0.0000
8 Hf 0.9855 0.4855 0.2949
9 Hf 0.3094 0.8094 0.2949
10 Hf 0.5145 0.6906 0.7051
11 Hf 0.0145 0.5145 0.7051
12 Hf 0.1906 0.0145 0.7051
13 Be 0.8812 0.6188 0.0000
14 Be 0.1188 0.3812 0.0000
15 Be 0.6188 0.1188 0.0000
16 Be 0.3812 0.8812 0.0000



13.
## HfBeAs3 (PBE-GGA)

Data for a relaxed structure of HfBeAs3.

SG ... Pm-3m, No. 221
Relative energy among the computed polymorphs ... 0 meV/atom
Energy of formation ... 332 meV per atom
VASP energy ... -25.966 eV per cell
Theoretical density ... 7529 kg/m³

a = 4.4967 Å, b = 4.4967 Å, c = 4.4967 Å
α = 90.00°, β = 90.00°, γ = 90.00°
Fractional coordinates of all 5 atoms:
1 Be 0.0000 0.0000 0.0000
2 As 0.0000 0.5000 0.0000
3 As 0.5000 0.0000 0.0000
4 As 0.0000 0.0000 0.5000
5 Hf 0.5000 0.5000 0.5000



14.
## HfBeAs3 (PBE-GGA)

Data for a relaxed structure of HfBeAs3.

SG ... Pm-3m, No. 221
Relative energy among the computed polymorphs ... 400 meV/atom
Energy of formation ... 733 meV per atom
VASP energy ... -23.964 eV per cell
Theoretical density ... 5113 kg/m³

a = 5.1157 Å, b = 5.1157 Å, c = 5.1157 Å
α = 90.00°, β = 90.00°, γ = 90.00°
Fractional coordinates of all 5 atoms:
1 Be 0.5000 0.5000 0.5000
2 As 0.5000 0.0000 0.0000
3 As 0.0000 0.5000 0.0000
4 As 0.0000 0.0000 0.5000
5 Hf 0.0000 0.0000 0.0000



15.
## Hf4BeAs (PBE-GGA)

Data for a relaxed structure of Hf4BeAs.

SG ... P4/mcc, No. 124
Energy of formation ... -430 meV per atom
VASP energy ... -101.543 eV per cell
Theoretical density ... 11916 kg/m³

a = 5.3678 Å, b = 6.4364 Å, c = 6.4364 Å
α = 90.00°, β = 90.00°, γ = 90.00°
Fractional coordinates of all 12 atoms:
1 As 0.7500 0.0000 0.0000
2 As 0.2500 0.0000 0.0000
3 Hf 0.0000 0.3507 0.1680
4 Hf 0.5000 0.6493 0.1680
5 Hf 0.0000 0.1680 0.6493
6 Hf 0.5000 0.8320 0.6493
7 Hf 0.0000 0.6493 0.8320
8 Hf 0.5000 0.3507 0.8320
9 Hf 0.5000 0.1680 0.3507
10 Hf 0.0000 0.8320 0.3507
11 Be 0.7500 0.5000 0.5000
12 Be 0.2500 0.5000 0.5000



16.
## HfMn2BeAs (PBE-GGA)

Data for a relaxed structure of HfMn2BeAs.

SG ... P4/mmm, No. 123
Energy of formation ... 229 meV per atom
VASP energy ... -35.523 eV per cell
Theoretical density ... 8015 kg/m³

a = 4.0382 Å, b = 4.7300 Å, c = 4.0382 Å
α = 90.00°, β = 90.00°, γ = 90.00°
Fractional coordinates of all 5 atoms:
1 Mn 0.0000 0.0000 0.5000
2 Mn 0.5000 0.0000 0.0000
3 Be 0.0000 0.0000 0.0000
4 As 0.5000 0.5000 0.5000
5 Hf 0.0000 0.5000 0.0000



17.
## HfBe2NiAs (PBE-GGA)

Data for a relaxed structure of HfBe2NiAs.

SG ... P4/mmm, No. 123
Energy of formation ... 578 meV per atom
VASP energy ... -24.948 eV per cell
Theoretical density ... 7120 kg/m³

a = 4.2193 Å, b = 4.3247 Å, c = 4.2193 Å
α = 90.00°, β = 90.00°, γ = 90.00°
Fractional coordinates of all 5 atoms:
1 As 0.0000 0.0000 0.0000
2 Ni 0.0000 0.5000 0.0000
3 Be 0.0000 0.0000 0.5000
4 Be 0.5000 0.0000 0.0000
5 Hf 0.5000 0.5000 0.5000



18.
## Hf2BeAsPd (PBE-GGA)

Data for a relaxed structure of Hf2BeAsPd.

SG ... P4/mmm, No. 123
Energy of formation ... 496 meV per atom
VASP energy ... -30.998 eV per cell
Theoretical density ... 8170 kg/m³

a = 4.9350 Å, b = 4.5678 Å, c = 4.9350 Å
α = 90.00°, β = 90.00°, γ = 90.00°
Fractional coordinates of all 5 atoms:
1 Hf 0.5000 0.0000 0.0000
2 Hf 0.0000 0.0000 0.5000
3 As 0.0000 0.0000 0.0000
4 Be 0.5000 0.5000 0.5000
5 Pd 0.0000 0.5000 0.0000



19.
## HfBe2AsS (PBE-GGA)

Data for a relaxed structure of HfBe2AsS.

SG ... P4/mmm, No. 123
VASP energy ... -25.428 eV per cell
Theoretical density ... 6336 kg/m³
Raw formation energy ... 0.151 eV per atom

a = 3.9917 Å, b = 4.9918 Å, c = 3.9917 Å
α = 90.00°, β = 90.00°, γ = 90.00°
Fractional coordinates of all 5 atoms:
1 As 0.5000 0.5000 0.5000
2 Hf 0.0000 0.5000 0.0000
3 S 0.0000 0.0000 0.0000
4 Be 0.5000 0.0000 0.0000
5 Be 0.0000 0.0000 0.5000



20.
## HfBeAs2Se (PBE-GGA)

Data for a relaxed structure of HfBeAs2Se.

SG ... P4/mmm, No. 123
Relative energy among the computed polymorphs ... 0 meV/atom
VASP energy ... -25.296 eV per cell
Theoretical density ... 7373 kg/m³
Raw formation energy ... 0.233 eV per atom

a = 4.2821 Å, b = 4.2821 Å, c = 5.1135 Å
α = 90.00°, β = 90.00°, γ = 90.00°
Fractional coordinates of all 5 atoms:
1 Be 0.0000 0.0000 0.0000
2 Hf 0.5000 0.5000 0.5000
3 As 0.5000 0.0000 0.0000
4 As 0.0000 0.5000 0.0000
5 Se 0.0000 0.0000 0.5000